1.
Computed, not measured: a geometry-optimized FeTe6P2 structure at the PBE level of DFT.

abc: 3.6895 10.0438 13.3658
angles: 90.00 90.00 90.00
Space group Amm2 (No. 38)
Symmetry-distinct sites (fractional):
1 Fe 0.0000 0.0000 0.0000 [2 per cell]
2 Te 0.0000 0.0000 0.5911 [2 per cell]
3 Te 0.0000 0.1748 0.3147 [4 per cell]
4 Te 0.5000 0.0000 0.8656 [2 per cell]
5 Te 0.5000 0.1494 0.0744 [4 per cell]
6 P 0.5000 0.1123 0.4483 [4 per cell]

Summary:
- Formation energy from raw total energies: 0.171 eV per atom
- Crystal system: orthorhombic
- N(E_F): 15.10 states/eV/cell

2.
Computed, not measured: a geometry-optimized FeTe2P structure at the PBE level of DFT.

abc: 7.9752 7.9752 4.9591
angles: 90.00 90.00 120.00
Space group P-3m1 (No. 164)
Symmetry-distinct sites (fractional):
1 Fe 0.0000 0.0000 0.0000 [1 per cell]
2 Fe 0.3333 0.6667 0.2105 [2 per cell]
3 Te 0.1813 0.3626 0.8208 [6 per cell]
4 P 0.0000 0.5000 0.5000 [3 per cell]

Summary:
- Formation energy from raw total energies: 0.327 eV per atom
- Crystal system: trigonal
- N(E_F): 13.72 states/eV/cell

3.
Computed, not measured: a geometry-optimized Th8FeTe4P3 structure at the PBE level of DFT.

abc: 8.4371 8.4371 22.1312
angles: 90.00 90.00 120.00
Space group R-3m (No. 166, hexagonal axes)
Symmetry-distinct sites (fractional):
1 Th 0.0000 0.0000 0.2358 [6 per cell]
2 Th 0.0153 0.5076 0.2344 [18 per cell]
3 Fe 0.0000 0.0000 0.5000 [3 per cell]
4 Te 0.0000 0.0000 0.0000 [3 per cell]
5 Te 0.0000 0.5000 0.0000 [9 per cell]
6 P 0.0000 0.5000 0.5000 [9 per cell]

Summary:
- Formation energy from raw total energies: -1.174 eV per atom
- Crystal system: trigonal
- N(E_F): 37.18 states/eV/cell